First-principles (SCAN) data for a PBEsol-optimized structure of LiCu2Ni, as listed in Alexandria via LeMat-Bulk.

Cell and atoms, written as CIF:
```
data_LiCu2Ni
_symmetry_space_group_name_H-M 'C 1 2/m 1'
_symmetry_Int_Tables_number 12
_symmetry_space_group_name_Hall '-C 2y'
_cell_length_a 8.333
_cell_length_b 2.464
_cell_length_c 4.377
_cell_angle_alpha 90.00
_cell_angle_beta 98.81
_cell_angle_gamma 90.00
loop_
_atom_site_label
_atom_site_type_symbol
_atom_site_fract_x
_atom_site_fract_y
_atom_site_fract_z
Li1 Li 0.000 0.000 0.000
Cu1 Cu 0.243 0.000 0.743
Ni1 Ni 0.000 0.500 0.500
```

## Properties
Energy relative to the elements: 3.0 kJ per mole of atoms
Polymorph energy (0 for the lowest one): 34 meV/atom